Entry from Alexandria: an optimized crystal structure of Ba2In2Ir (PBE).

a b c (Å): 7.362 7.362 5.662
angles (deg): 90.00 90.00 90.00
Fractional positions:
Ba 0.823 0.323 0.500
Ir 0.000 0.000 0.000
Ir 0.500 0.500 0.000
Ba 0.323 0.177 0.500
In 0.650 0.150 0.000
Ba 0.677 0.823 0.500
In 0.150 0.350 0.000
In 0.350 0.850 0.000
In 0.850 0.650 0.000
Ba 0.177 0.677 0.500

Computed properties:
volume: 30.69 Å³ per atom
energy relative to the elements: -61 meV per atom